Computed, not measured: a PBEsol-optimized structure of CrCu2Hg at the meta-GGA SCAN level of DFT.

Properties
- calculated density (Mg/m³) = 10.98
- magnetic moment (μB per cell) = 15.4
- VASP energy (eV/atom) = -29.0284

The structure in CIF format:
```
data_CrCu2Hg
_space_group_name_H-M_alt 'F -4 3 m'
_space_group_IT_number 216
_space_group_name_Hall 'F -4 2 3'
_cell_length_a 6.124
_cell_length_b 6.124
_cell_length_c 6.124
_cell_angle_alpha 90.00
_cell_angle_beta 90.00
_cell_angle_gamma 90.00
loop_
_atom_site_label
_atom_site_fract_x
_atom_site_fract_y
_atom_site_fract_z
Cr1 0.000 0.000 0.000
Cu1 0.000 0.000 0.500
Cu2 0.250 0.250 0.250
Hg1 0.250 0.250 0.750
```